A relaxed Ba2GaTe crystal, computed with GGA-PBE.

- Distance to the lowest polymorph of the same formula: 0.000 eV/atom
- Volume: 41.92 A^3/atom
- ΔE_f (raw): -1.025 eV per atom

abc: 5.0374 27.9179 4.7695
angles: 90.00 90.00 90.00
Space group Cmcm (No. 63)
Asymmetric unit:
Ba 0.0000 0.0630 0.2500 [4 per cell]
Ba 0.0000 0.3153 0.2500 [4 per cell]
Ga 0.0000 0.4747 0.2500 [4 per cell]
Te 0.0000 0.1892 0.2500 [4 per cell]

***

A relaxed Nd3Er2TmBi6 crystal, computed with GGA-PBE.

- Volume: 32.79 A^3/atom
- Uncorrected energy: -5.14 eV per atom

abc: 19.7145 4.5303 9.0460
angles: 90.00 103.07 90.00
Space group C2/m (No. 12)
Asymmetric unit:
Nd 0.0000 0.0000 0.0000 [2 per cell]
Nd 0.1668 0.5000 0.3330 [4 per cell]
Er 0.1665 0.5000 0.8328 [4 per cell]
Tm 0.0000 0.0000 0.5000 [2 per cell]
Bi 0.0023 0.5000 0.7430 [4 per cell]
Bi 0.1639 0.0000 0.5888 [4 per cell]
Bi 0.1691 0.0000 0.0768 [4 per cell]